Run a
# SmMg2In2, relaxed, DFT PBE
data_SmMg2In2
_cell_length_a 5.0048
_cell_length_b 5.0048
_cell_length_c 6.4830
_cell_angle_alpha 90.00
_cell_angle_beta 90.00
_cell_angle_gamma 120.00
_symmetry_space_group_name_H-M 'P -3 m 1'
_symmetry_Int_Tables_number 164
_symmetry_space_group_name_Hall '-P 3 2"'
loop_
_atom_site_label
_atom_site_fract_x
_atom_site_fract_y
_atom_site_fract_z
Sm1 0.0000 0.0000 0.0000
Mg1 0.3333 0.6667 0.3257
In1 0.3333 0.6667 0.7902
# Spin magnetization, μB per formula unit: 0.00
# Mass density, g/cm³: 5.06

Run b
# SmMg2In2, relaxed, DFT PBE
data_SmMg2In2
_cell_length_a 5.1724
_cell_length_b 5.1724
_cell_length_c 12.2610
_cell_angle_alpha 90.00
_cell_angle_beta 90.00
_cell_angle_gamma 120.00
_symmetry_space_group_name_H-M 'P 63/m m c'
_symmetry_Int_Tables_number 194
_symmetry_space_group_name_Hall '-P 6c 2c'
loop_
_atom_site_label
_atom_site_fract_x
_atom_site_fract_y
_atom_site_fract_z
Sm1 0.0000 0.0000 0.2500
Mg1 0.3333 0.6667 0.1027
In1 0.0000 0.0000 0.0000
In2 0.3333 0.6667 0.7500
# Spin magnetization, μB per formula unit: 0.00
# Mass density, g/cm³: 5.01

Which one is the least stable? From the structures above, run b.